BeCoNO2 | PBE+U | relaxed

Geometry as POSCAR:
```
BeCoNO2
1.0
-0.7290 3.0385 2.1889
-3.6167 -1.1497 0.3913
0.8466 -1.7434 2.7021
Co O Be N
1 2 1 1
Direct
0.0000 0.0000 0.0000
0.5000 0.0000 0.0000
0.0000 0.5000 0.0000
0.5000 0.5000 0.5000
0.0000 0.0000 0.5000
```

## Properties
As for the total energy: -24.6 eV/cell.